1.
Material: CsTbGdSe3
Method: DFT, PBE-GGA
State: relaxed

It has space group Cmcm (No. 63), with a = 4.579 Å, b = 16.388 Å, c = 11.267 Å, α = 90.00°, β = 90.00° and γ = 90.00°. Symmetry generates all atoms from Cs at (0.000, 0.239, 0.250), Tb at (0.000, 0.032, 0.750), Gd at (0.000, 0.500, 0.000), Se at (0.000, 0.117, 0.542) and Se at (0.000, 0.440, 0.750).

The final energy comes out at -5.00 eV/atom.

---

2.
Material: CsGdTeSe
Method: DFT, PBE-GGA
State: relaxed

It has space group P6_3mc (No. 186), with a = 4.4268 Å, b = 4.4268 Å, c = 17.3120 Å, α = 90.00°, β = 90.00° and γ = 120.00°. Symmetry generates all atoms from Cs at (0.3333, 0.6667, 0.0000), Gd at (0.0000, 0.0000, 0.2633), Te at (0.3333, 0.6667, 0.6593) and Se at (0.3333, 0.6667, 0.3488).

As for the polymorph energy (0 for the lowest one): 0.0 meV/atom.

---

3.
Material: CsGdTeSe
Method: DFT, PBE-GGA
State: relaxed

It has space group P-3m1 (No. 164), with a = 4.4271 Å, b = 4.4271 Å, c = 17.3131 Å, α = 90.00°, β = 90.00° and γ = 120.00°. Symmetry generates all atoms from Cs at (0.3333, 0.6667, 0.2626), Gd at (0.0000, 0.0000, 0.0000), Gd at (0.0000, 0.0000, 0.5000), Te at (0.3333, 0.6667, 0.8978) and Se at (0.3333, 0.6667, 0.5874).

As for the polymorph energy (0 for the lowest one): 2.3 meV/atom.

---

Question: Which formula does entry 2 have?
Answer: CsGdTeSe